{
  "formula": "Rb3NaO",
  "functional": "PBE",
  "state": "optimized geometry",
  "dos_ef_per_ev_cell": 3.54,
  "rho_g_cm3": 1.86,
  "e_form_raw_mev_per_atom": -538,
  "e_tot_ev_per_atom": -2.37,
  "de_polymorph_ev_per_atom": 0.000,
  "space_group": "P2_1/c (14)",
  "lattice": [[7.5173, 0.0000, 0.0000], [0.0000, 11.0920, 0.7195], [0.0000, -3.3291, 12.4498]],
  "species": ["Rb", "Rb", "Rb", "Rb", "Rb", "Rb", "Rb", "Rb", "Rb", "Rb", "Rb", "Rb", "Na", "Na", "Na", "Na", "O", "O", "O", "O"],
  "fractional_positions": [[0.0421, 0.6411, 0.5913], [0.9579, 0.3589, 0.4087], [0.5421, 0.8589, 0.9087], [0.4579, 0.1411, 0.0913], [0.5504, 0.6528, 0.4967], [0.4496, 0.3472, 0.5033], [0.0504, 0.8472, 0.0033], [0.9496, 0.1528, 0.9967], [0.2258, 0.5799, 0.2595], [0.7742, 0.4201, 0.7405], [0.7258, 0.9201, 0.2405], [0.2742, 0.0799, 0.7595], [0.7728, 0.0228, 0.5842], [0.2272, 0.9772, 0.4158], [0.2728, 0.4772, 0.9158], [0.7272, 0.5228, 0.0842], [0.2464, 0.5150, 0.4396], [0.7536, 0.4850, 0.5604], [0.7464, 0.9850, 0.0604], [0.2536, 0.0150, 0.9396]]
}